Below is an optimized crystal structure of SmPd9Pb2, with properties calculated at the PBE-GGA level.

Results
As for the crystal system: tetragonal. For the raw total energy, the calculation gives -5.37 eV per atom. The value obtained for the size of the total moment is 0.0 μB per cell. As for the energy relative to the elements: -0.4613 eV/atom.

a = 4.1406 Å, b = 4.1406 Å, c = 12.3396 Å
α = 90.00°, β = 90.00°, γ = 90.00°
Last column: nearest neighbours and their distance in Å.
Fractional coordinates of all 12 atoms:
Sm: 0.0000 0.0000 0.0000  12 Pd 2.93-2.95
Pd: 0.0000 0.5000 0.1706  2 Pb 2.89, 8 Pd 2.91-2.95, 2 Sm 2.95
Pd: 0.0000 0.5000 0.5000  8 Pd 2.89-2.93, 4 Pb 2.91
Pd: 0.0000 0.5000 0.8294  2 Pb 2.89, 8 Pd 2.91-2.95, 2 Sm 2.95
Pd: 0.5000 0.0000 0.1706  2 Pb 2.89, 8 Pd 2.91-2.95, 2 Sm 2.95
Pd: 0.5000 0.0000 0.5000  8 Pd 2.89-2.93, 4 Pb 2.91
Pd: 0.5000 0.0000 0.8294  2 Pb 2.89, 8 Pd 2.91-2.95, 2 Sm 2.95
Pd: 0.5000 0.5000 0.0000  4 Sm 2.93, 8 Pd 2.95
Pd: 0.5000 0.5000 0.3365  8 Pd 2.89-2.91, 4 Pb 2.93
Pd: 0.5000 0.5000 0.6635  8 Pd 2.89-2.91, 4 Pb 2.93
Pb: 0.0000 0.0000 0.3346  12 Pd 2.89-2.93
Pb: 0.0000 0.0000 0.6654  12 Pd 2.89-2.93


Below is an optimized crystal structure of LaCu4As2, with properties calculated at the PBE-GGA level.

Results
As for the crystal system: tetragonal. For the raw total energy, the calculation gives -4.82 eV per atom. The value obtained for the size of the total moment is 0.0 μB per cell. As for the energy relative to the elements: -0.4487 eV/atom.

a = 7.6188 Å, b = 7.6188 Å, c = 4.0188 Å
α = 90.00°, β = 90.00°, γ = 90.00°
Last column: nearest neighbours and their distance in Å.
Fractional coordinates of all 14 atoms:
La: 0.0000 0.0000 0.0000  6 As 3.06-3.07, 12 Cu 3.38-3.39
La: 0.5000 0.5000 0.5000  6 As 3.06-3.07, 12 Cu 3.38-3.39
Cu: 0.0837 0.3476 0.5000  3 As 2.49-2.57, 5 Cu 2.65-2.75
Cu: 0.1524 0.5837 0.0000  3 As 2.49-2.57, 5 Cu 2.65-2.75
Cu: 0.3476 0.0837 0.5000  3 As 2.49-2.57, 5 Cu 2.65-2.75
Cu: 0.4163 0.8476 0.0000  3 As 2.49-2.57, 5 Cu 2.65-2.75
Cu: 0.5837 0.1524 0.0000  3 As 2.49-2.57, 5 Cu 2.65-2.75
Cu: 0.6524 0.9163 0.5000  3 As 2.49-2.57, 5 Cu 2.65-2.75
Cu: 0.8476 0.4163 0.0000  3 As 2.49-2.57, 5 Cu 2.65-2.75
Cu: 0.9163 0.6524 0.5000  3 As 2.49-2.57, 5 Cu 2.65-2.75
As: 0.2158 0.7842 0.5000  6 Cu 2.49-2.57
As: 0.2842 0.2842 0.0000  6 Cu 2.49-2.57
As: 0.7158 0.7158 0.0000  6 Cu 2.49-2.57
As: 0.7842 0.2158 0.5000  6 Cu 2.49-2.57


Below is an optimized crystal structure of TcRhW2, with properties calculated at the PBE-GGA level.

Results
As for the crystal system: trigonal. The energy relative to the lowest polymorph listed for this composition is 0.122 eV/atom. For the raw total energy, the calculation gives -10.78 eV per atom. The value obtained for the size of the total moment is 0.0 μB per cell. As for the energy relative to the elements: 0.1295 eV/atom.

a = 9.1695 Å, b = 9.1695 Å, c = 9.1695 Å
α = 17.57°, β = 17.57°, γ = 17.57°
Last column: nearest neighbours and their distance in Å.
Fractional coordinates of all 4 atoms:
Tc: 0.0000 0.0000 0.0000  6 W 2.78, 6 Tc 2.80
Rh: 0.5000 0.5000 0.5000  6 W 2.77, 6 Rh 2.80
W: 0.2498 0.2498 0.2498  3 Rh 2.77, 3 Tc 2.78, 6 W 2.80
W: 0.7502 0.7502 0.7502  3 Rh 2.77, 3 Tc 2.78, 6 W 2.80


Below is an optimized crystal structure of AcCdIn2Pt4, with properties calculated at the PBE-GGA level.

Results
As for the crystal system: trigonal. For the raw total energy, the calculation gives -4.94 eV per atom. The value obtained for the size of the total moment is 0.0 μB per cell. As for the energy relative to the elements: -0.6093 eV/atom.

a = 9.7010 Å, b = 9.7010 Å, c = 9.7010 Å
α = 27.28°, β = 27.28°, γ = 27.28°
Last column: nearest neighbours and their distance in Å.
Fractional coordinates of all 8 atoms:
Ac: 0.0000 0.0000 0.0000  6 Pt 3.24
Cd: 0.5000 0.5000 0.5000  8 Pt 2.79-2.82
In: 0.2383 0.2383 0.2383  7 Pt 2.75-2.99
In: 0.7617 0.7617 0.7617  7 Pt 2.75-2.99
Pt: 0.1316 0.1316 0.1316  3 Cd 2.82, 4 In 2.83-2.99
Pt: 0.4005 0.4005 0.4005  3 In 2.75, 1 Cd 2.79
Pt: 0.5995 0.5995 0.5995  3 In 2.75, 1 Cd 2.79
Pt: 0.8684 0.8684 0.8684  3 Cd 2.82, 4 In 2.83-2.99


Below is an optimized crystal structure of MgPa2RhN5, with properties calculated at the PBE-GGA level.

Results
As for the crystal system: orthorhombic. For the raw total energy, the calculation gives -8.66 eV per atom. The value obtained for the size of the total moment is 0.0 μB per cell.

a = 6.7829 Å, b = 6.7829 Å, c = 9.9713 Å
α = 90.00°, β = 90.00°, γ = 151.52°
Last column: nearest neighbours and their distance in Å.
Fractional coordinates of all 18 atoms:
Mg: 0.2047 0.7953 0.5000  4 N 2.10-2.23
Mg: 0.7953 0.2047 0.0000  4 N 2.10-2.23
Pa: 0.1047 0.8953 0.1794  6 N 2.25-2.48
Pa: 0.1521 0.8479 0.7933  6 N 2.27-2.48
Pa: 0.8479 0.1521 0.2933  6 N 2.27-2.48
Pa: 0.8953 0.1047 0.6794  6 N 2.25-2.48
Rh: 0.4742 0.5258 0.9535  4 N 1.95-2.14
Rh: 0.5258 0.4742 0.4535  4 N 1.95-2.14
N: 0.0567 0.9433 0.5793  1 Mg 2.10, 2 Rh 2.13, 1 Pa 2.35
N: 0.2759 0.7241 0.1710  3 Pa 2.25-2.27, 2 Mg 2.40
N: 0.3252 0.6748 0.8572  1 Rh 2.18, 2 Mg 2.23, 1 Pa 2.36
N: 0.3670 0.6330 0.5005  1 Mg 2.13, 1 Rh 2.14
N: 0.4819 0.5181 0.2671  1 Rh 1.95
N: 0.5181 0.4819 0.7671  1 Rh 1.95
N: 0.6330 0.3670 0.0005  1 Mg 2.13, 1 Rh 2.14
N: 0.6748 0.3252 0.3572  1 Rh 2.18, 2 Mg 2.23, 1 Pa 2.36
N: 0.7241 0.2759 0.6710  3 Pa 2.25-2.27, 2 Mg 2.40
N: 0.9433 0.0567 0.0793  1 Mg 2.10, 2 Rh 2.13, 1 Pa 2.35


Below is an optimized crystal structure of Nd2Dy3Al, with properties calculated at the PBE-GGA level.

Results
As for the crystal system: orthorhombic. For the raw total energy, the calculation gives -4.59 eV per atom. The value obtained for the size of the total moment is 0.0 μB per cell. As for the energy relative to the elements: -0.0778 eV/atom.

a = 7.9268 Å, b = 7.9268 Å, c = 4.8882 Å
α = 90.00°, β = 90.00°, γ = 144.52°
Last column: nearest neighbours and their distance in Å.
Fractional coordinates of all 6 atoms:
Nd: 0.1591 0.8409 0.0000  2 Al 3.41, 8 Dy 3.43-3.65, 2 Nd 3.66
Nd: 0.8409 0.1591 0.0000  2 Al 3.41, 8 Dy 3.43-3.65, 2 Nd 3.66
Dy: 0.0000 0.0000 0.5000  4 Nd 3.43, 4 Dy 3.43, 4 Al 3.44
Dy: 0.3388 0.6612 0.5000  4 Dy 3.43-3.61, 6 Nd 3.44-3.65, 2 Al 3.45
Dy: 0.6612 0.3388 0.5000  4 Dy 3.43-3.61, 6 Nd 3.44-3.65, 2 Al 3.45
Al: 0.5000 0.5000 0.0000  4 Nd 3.41, 8 Dy 3.44-3.45


Below is an optimized crystal structure of SrSmPb2S4, with properties calculated at the PBE-GGA level.

Results
As for the crystal system: monoclinic. For the raw total energy, the calculation gives -5.04 eV per atom. The value obtained for the size of the total moment is 0.0 μB per cell.

a = 7.3572 Å, b = 4.0734 Å, c = 7.5243 Å
α = 90.00°, β = 104.82°, γ = 90.00°
Last column: nearest neighbours and their distance in Å.
Fractional coordinates of all 8 atoms:
Sr: 0.0000 0.0000 0.0000  6 S 2.99-3.04
Sm: 0.0000 0.5000 0.5000  6 S 2.80-2.87
Pb: 0.5000 0.0000 0.5000  6 S 2.95-3.06
Pb: 0.5000 0.5000 0.0000  6 S 3.03-3.32
S: 0.2120 0.0000 0.7098  2 Sm 2.80, 1 Pb 2.95, 1 Sr 2.99
S: 0.2419 0.5000 0.2557  1 Sm 2.87, 3 Pb 3.03-3.06, 2 Sr 3.04
S: 0.7581 0.5000 0.7443  1 Sm 2.87, 3 Pb 3.03-3.06, 2 Sr 3.04
S: 0.7880 0.0000 0.2902  2 Sm 2.80, 1 Pb 2.95, 1 Sr 2.99


Below is an optimized crystal structure of LiCa3As, with properties calculated at the PBE-GGA level.

Results
As for the crystal system: cubic. The energy relative to the lowest polymorph listed for this composition is 0.000 eV/atom. For the raw total energy, the calculation gives -2.96 eV per atom. The value obtained for the size of the total moment is 0.0 μB per cell. As for the energy relative to the elements: -0.4463 eV/atom.

a = 5.7019 Å, b = 5.7019 Å, c = 5.7019 Å
α = 90.00°, β = 90.00°, γ = 90.00°
Last column: nearest neighbours and their distance in Å.
Fractional coordinates of all 5 atoms:
Li: 0.0000 0.0000 0.0000  12 Ca 4.03
Ca: 0.0000 0.5000 0.5000  2 As 2.85
Ca: 0.5000 0.0000 0.5000  2 As 2.85
Ca: 0.5000 0.5000 0.0000  2 As 2.85
As: 0.5000 0.5000 0.5000  6 Ca 2.85